No. 1
First-principles (PBE) data for a relaxed CeSn3Au3 crystal, as listed in Alexandria.

Cell and atoms, written as CIF:
```
data_CeSn3Au3
_chemical_formula_sum 'Ce2 Sn6 Au6'
_space_group_name_H-M_alt 'P 1'
_space_group_IT_number 1
_space_group_name_Hall 'P 1'
_cell_length_a 7.5326
_cell_length_b 7.5326
_cell_length_c 7.5326
_cell_angle_alpha 90.00
_cell_angle_beta 90.00
_cell_angle_gamma 90.00
loop_
_atom_site_label
_atom_site_type_symbol
_atom_site_fract_x
_atom_site_fract_y
_atom_site_fract_z
Au1 Au 0.0000 0.2500 0.5000
Au2 Au 0.0000 0.7500 0.5000
Au3 Au 0.5000 0.0000 0.7500
Au4 Au 0.7500 0.5000 0.0000
Au5 Au 0.5000 0.0000 0.2500
Au6 Au 0.2500 0.5000 0.0000
Sn1 Sn 0.2500 0.0000 0.5000
Sn2 Sn 0.0000 0.5000 0.2500
Sn3 Sn 0.5000 0.7500 0.0000
Sn4 Sn 0.7500 0.0000 0.5000
Sn5 Sn 0.0000 0.5000 0.7500
Sn6 Sn 0.5000 0.2500 0.0000
Ce1 Ce 0.5000 0.5000 0.5000
Ce2 Ce 0.0000 0.0000 0.0000
```

**Energy relative to the elements**: -1 kJ per mole of atoms
**Energy above the lowest structure with this stoichiometry**: 351 meV per atom

***

No. 2
First-principles (PBE) data for a relaxed Ce5SnAu3 crystal, as listed in Alexandria.

Cell and atoms, written as CIF:
```
data_Ce5SnAu3
_chemical_formula_sum 'Ce10 Sn2 Au6'
_space_group_name_H-M_alt 'P 1'
_space_group_IT_number 1
_space_group_name_Hall 'P 1'
_cell_length_a 6.3133
_cell_length_b 9.3135
_cell_length_c 9.2994
_cell_angle_alpha 120.05
_cell_angle_beta 90.00
_cell_angle_gamma 90.00
loop_
_atom_site_label
_atom_site_type_symbol
_atom_site_fract_x
_atom_site_fract_y
_atom_site_fract_z
Ce1 Ce 0.0000 0.6666 0.3332
Ce2 Ce 0.5000 0.3334 0.6668
Ce3 Ce 0.0000 0.3334 0.6668
Ce4 Ce 0.5000 0.6666 0.3332
Ce5 Ce 0.7500 0.6981 0.6981
Ce6 Ce 0.7500 0.0000 0.3019
Ce7 Ce 0.7500 0.3014 0.0000
Ce8 Ce 0.2500 0.3019 0.3019
Ce9 Ce 0.2500 0.0000 0.6981
Ce10 Ce 0.2500 0.6986 0.0000
Sn1 Sn 0.0000 0.0000 0.0000
Sn2 Sn 0.5000 0.0000 0.0000
Au1 Au 0.7500 0.3685 0.3686
Au2 Au 0.7500 0.9999 0.6314
Au3 Au 0.7500 0.6309 0.0000
Au4 Au 0.2500 0.6315 0.6314
Au5 Au 0.2500 0.0001 0.3686
Au6 Au 0.2500 0.3691 0.0000
```

**Energy relative to the elements**: -46 kJ per mole of atoms

***

No. 3
First-principles (PBE) data for a relaxed Ce4SnAu crystal, as listed in Alexandria.

Cell and atoms, written as CIF:
```
data_Ce4SnAu
_chemical_formula_sum 'Ce8 Sn2 Au2'
_space_group_name_H-M_alt 'P 1'
_space_group_IT_number 1
_space_group_name_Hall 'P 1'
_cell_length_a 5.7536
_cell_length_b 8.6001
_cell_length_c 7.8866
_cell_angle_alpha 116.43
_cell_angle_beta 102.42
_cell_angle_gamma 105.93
loop_
_atom_site_label
_atom_site_type_symbol
_atom_site_fract_x
_atom_site_fract_y
_atom_site_fract_z
Ce1 Ce 0.0537 0.1869 0.7877
Ce2 Ce 0.8425 0.6834 0.6121
Ce3 Ce 0.2340 0.6008 0.7877
Ce4 Ce 0.2696 0.9288 0.6121
Ce5 Ce 0.7304 0.0712 0.3879
Ce6 Ce 0.7660 0.3992 0.2123
Ce7 Ce 0.1575 0.3166 0.3879
Ce8 Ce 0.9463 0.8131 0.2123
Sn1 Sn 0.3670 0.6170 0.2339
Sn2 Sn 0.6330 0.3830 0.7661
Au1 Au 0.2791 0.0291 0.0581
Au2 Au 0.7209 0.9709 0.9419
```

**Energy relative to the elements**: -39 kJ per mole of atoms
**Energy above the lowest structure with this stoichiometry**: 0 meV per atom

***

No. 4
First-principles (PBE) data for a relaxed Ce4SnAu3 crystal, as listed in Alexandria.

Cell and atoms, written as CIF:
```
data_Ce4SnAu3
_chemical_formula_sum 'Ce4 Sn1 Au3'
_space_group_name_H-M_alt 'P 1'
_space_group_IT_number 1
_space_group_name_Hall 'P 1'
_cell_length_a 4.0755
_cell_length_b 4.6477
_cell_length_c 11.4815
_cell_angle_alpha 90.00
_cell_angle_beta 90.00
_cell_angle_gamma 90.00
loop_
_atom_site_label
_atom_site_type_symbol
_atom_site_fract_x
_atom_site_fract_y
_atom_site_fract_z
Au1 Au 0.0000 0.5000 0.5853
Au2 Au 0.0000 0.0000 0.4171
Au3 Au 0.5000 0.0000 0.9118
Sn1 Sn 0.5000 0.5000 0.0816
Ce1 Ce 0.5000 0.5000 0.3648
Ce2 Ce 0.0000 0.5000 0.8542
Ce3 Ce 0.0000 0.0000 0.1473
Ce4 Ce 0.5000 0.0000 0.6379
```

**Energy relative to the elements**: -57 kJ per mole of atoms

***

No. 5
First-principles (PBE) data for a relaxed CeSnAu5 crystal, as listed in Alexandria.

Cell and atoms, written as CIF:
```
data_CeSnAu5
_chemical_formula_sum 'Ce4 Sn4 Au20'
_space_group_name_H-M_alt 'P 1'
_space_group_IT_number 1
_space_group_name_Hall 'P 1'
_cell_length_a 5.7444
_cell_length_b 9.2619
_cell_length_c 11.2460
_cell_angle_alpha 90.00
_cell_angle_beta 90.00
_cell_angle_gamma 90.00
loop_
_atom_site_label
_atom_site_type_symbol
_atom_site_fract_x
_atom_site_fract_y
_atom_site_fract_z
Ce1 Ce 0.2500 0.2534 0.9433
Ce2 Ce 0.7500 0.2466 0.4433
Ce3 Ce 0.2500 0.7534 0.5567
Ce4 Ce 0.7500 0.7466 0.0567
Sn1 Sn 0.2500 0.8487 0.8457
Sn2 Sn 0.7500 0.6513 0.3457
Sn3 Sn 0.2500 0.3487 0.6543
Sn4 Sn 0.7500 0.1513 0.1543
Au1 Au 0.2500 0.5923 0.0214
Au2 Au 0.7500 0.9077 0.5214
Au3 Au 0.2500 0.0923 0.4786
Au4 Au 0.7500 0.4077 0.9786
Au5 Au 0.7500 0.3241 0.7247
Au6 Au 0.2500 0.1759 0.2247
Au7 Au 0.7500 0.8241 0.7753
Au8 Au 0.2500 0.6759 0.2753
Au9 Au 0.2500 0.9239 0.0744
Au10 Au 0.7500 0.5761 0.5744
Au11 Au 0.2500 0.4239 0.4256
Au12 Au 0.7500 0.0761 0.9256
Au13 Au 0.9935 0.4321 0.1995
Au14 Au 0.0065 0.0679 0.6995
Au15 Au 0.5065 0.9321 0.3005
Au16 Au 0.4935 0.5679 0.8005
Au17 Au 0.0065 0.5679 0.8005
Au18 Au 0.9935 0.9321 0.3005
Au19 Au 0.4935 0.0679 0.6995
Au20 Au 0.5065 0.4321 0.1995
```

**Energy relative to the elements**: -36 kJ per mole of atoms

***

No. 6
First-principles (PBE) data for a relaxed Ce2SnAu3 crystal, as listed in Alexandria.

Cell and atoms, written as CIF:
```
data_Ce2SnAu3
_chemical_formula_sum 'Ce4 Sn2 Au6'
_space_group_name_H-M_alt 'P 1'
_space_group_IT_number 1
_space_group_name_Hall 'P 1'
_cell_length_a 5.9447
_cell_length_b 5.9447
_cell_length_c 9.7185
_cell_angle_alpha 114.09
_cell_angle_beta 114.09
_cell_angle_gamma 70.46
loop_
_atom_site_label
_atom_site_type_symbol
_atom_site_fract_x
_atom_site_fract_y
_atom_site_fract_z
Ce1 Ce 0.7500 0.2500 0.5000
Ce2 Ce 0.7709 0.2291 0.0000
Ce3 Ce 0.2500 0.7500 0.5000
Ce4 Ce 0.2291 0.7709 0.0000
Sn1 Sn 0.6653 0.6653 0.3305
Sn2 Sn 0.3347 0.3347 0.6695
Au1 Au 0.8308 0.8308 0.1663
Au2 Au 0.6646 0.6646 0.8337
Au3 Au 0.1692 0.1692 0.8337
Au4 Au 0.3354 0.3354 0.1663
Au5 Au 0.1672 0.1672 0.3343
Au6 Au 0.8328 0.8328 0.6657
```

**Energy relative to the elements**: -66 kJ per mole of atoms

***

No. 7
First-principles (PBE) data for a relaxed Ce8SnAu2 crystal, as listed in Alexandria.

Cell and atoms, written as CIF:
```
data_Ce8SnAu2
_chemical_formula_sum 'Ce8 Sn1 Au2'
_space_group_name_H-M_alt 'P 1'
_space_group_IT_number 1
_space_group_name_Hall 'P 1'
_cell_length_a 6.2219
_cell_length_b 7.3543
_cell_length_c 7.3543
_cell_angle_alpha 75.94
_cell_angle_beta 97.65
_cell_angle_gamma 97.65
loop_
_atom_site_label
_atom_site_type_symbol
_atom_site_fract_x
_atom_site_fract_y
_atom_site_fract_z
Ce1 Ce 0.2751 0.4015 0.8102
Ce2 Ce 0.7249 0.1898 0.5985
Ce3 Ce 0.1411 0.7545 0.7545
Ce4 Ce 0.8589 0.2455 0.2455
Ce5 Ce 0.2751 0.8102 0.4015
Ce6 Ce 0.7249 0.5985 0.1898
Ce7 Ce 0.7678 0.5708 0.5708
Ce8 Ce 0.2322 0.4292 0.4292
Sn1 Sn 0.0000 0.0000 0.0000
Au1 Au 0.6203 0.7989 0.7989
Au2 Au 0.3797 0.2011 0.2011
```

**Energy relative to the elements**: -6 kJ per mole of atoms

***

No. 8
First-principles (PBE) data for a relaxed CeSnAu4 crystal, as listed in Alexandria.

Cell and atoms, written as CIF:
```
data_CeSnAu4
_chemical_formula_sum 'Ce2 Sn2 Au8'
_space_group_name_H-M_alt 'P 1'
_space_group_IT_number 1
_space_group_name_Hall 'P 1'
_cell_length_a 5.1108
_cell_length_b 7.5258
_cell_length_c 7.7516
_cell_angle_alpha 90.00
_cell_angle_beta 109.25
_cell_angle_gamma 90.00
loop_
_atom_site_label
_atom_site_type_symbol
_atom_site_fract_x
_atom_site_fract_y
_atom_site_fract_z
Ce1 Ce 0.3759 0.7500 0.7517
Ce2 Ce 0.6241 0.2500 0.2483
Sn1 Sn 0.1400 0.7500 0.2801
Sn2 Sn 0.8600 0.2500 0.7199
Au1 Au 0.2216 0.4279 0.4432
Au2 Au 0.7784 0.5721 0.5568
Au3 Au 0.2216 0.0721 0.4432
Au4 Au 0.7784 0.9279 0.5568
Au5 Au 0.5762 0.7500 0.1524
Au6 Au 0.4238 0.2500 0.8476
Au7 Au 0.0000 0.5000 0.0000
Au8 Au 0.0000 0.0000 0.0000
```

**Energy relative to the elements**: -29 kJ per mole of atoms
**Energy above the lowest structure with this stoichiometry**: 74 meV per atom

***

No. 9
First-principles (PBE) data for a relaxed CeSnAu4 crystal, as listed in Alexandria.

Cell and atoms, written as CIF:
```
data_CeSnAu4
_chemical_formula_sum 'Ce1 Sn1 Au4'
_space_group_name_H-M_alt 'P 1'
_space_group_IT_number 1
_space_group_name_Hall 'P 1'
_cell_length_a 5.6944
_cell_length_b 5.6944
_cell_length_c 5.6944
_cell_angle_alpha 60.00
_cell_angle_beta 60.00
_cell_angle_gamma 60.00
loop_
_atom_site_label
_atom_site_type_symbol
_atom_site_fract_x
_atom_site_fract_y
_atom_site_fract_z
Au1 Au 0.6251 0.6251 0.1246
Au2 Au 0.6251 0.1246 0.6251
Au3 Au 0.6251 0.6251 0.6251
Au4 Au 0.1246 0.6251 0.6251
Sn1 Sn 0.0000 0.0000 0.0000
Ce1 Ce 0.2500 0.2500 0.2500
```

**Energy relative to the elements**: -36 kJ per mole of atoms
**Energy above the lowest structure with this stoichiometry**: 0 meV per atom

***

No. 10
First-principles (PBE) data for a relaxed Ce3Sn4Au3 crystal, as listed in Alexandria.

Cell and atoms, written as CIF:
```
data_Ce3Sn4Au3
_chemical_formula_sum 'Ce6 Sn8 Au6'
_space_group_name_H-M_alt 'P 1'
_space_group_IT_number 1
_space_group_name_Hall 'P 1'
_cell_length_a 8.6903
_cell_length_b 8.6903
_cell_length_c 8.6903
_cell_angle_alpha 109.47
_cell_angle_beta 109.47
_cell_angle_gamma 109.47
loop_
_atom_site_label
_atom_site_type_symbol
_atom_site_fract_x
_atom_site_fract_y
_atom_site_fract_z
Ce1 Ce 0.6250 0.7500 0.8750
Ce2 Ce 0.8750 0.2500 0.6250
Ce3 Ce 0.1250 0.3750 0.2500
Ce4 Ce 0.3750 0.1250 0.7500
Ce5 Ce 0.2500 0.8750 0.1250
Ce6 Ce 0.7500 0.6250 0.3750
Sn1 Sn 0.0000 0.0000 0.3200
Sn2 Sn 0.5000 0.3200 0.5000
Sn3 Sn 0.6800 0.1800 0.1800
Sn4 Sn 0.0000 0.0000 0.8200
Sn5 Sn 0.8200 0.5000 0.0000
Sn6 Sn 0.5000 0.8200 0.5000
Sn7 Sn 0.3200 0.5000 0.0000
Sn8 Sn 0.1800 0.6800 0.6800
Au1 Au 0.1250 0.7500 0.3750
Au2 Au 0.3750 0.2500 0.1250
Au3 Au 0.6250 0.8750 0.2500
Au4 Au 0.8750 0.6250 0.7500
Au5 Au 0.2500 0.3750 0.6250
Au6 Au 0.7500 0.1250 0.8750
```

**Energy relative to the elements**: -65 kJ per mole of atoms

***

No. 11
First-principles (PBE) data for a relaxed Ce4SnAu crystal, as listed in Alexandria.

Cell and atoms, written as CIF:
```
data_Ce4SnAu
_chemical_formula_sum 'Ce4 Sn1 Au1'
_space_group_name_H-M_alt 'P 1'
_space_group_IT_number 1
_space_group_name_Hall 'P 1'
_cell_length_a 5.1101
_cell_length_b 6.0747
_cell_length_c 6.0747
_cell_angle_alpha 99.13
_cell_angle_beta 65.11
_cell_angle_gamma 65.11
loop_
_atom_site_label
_atom_site_type_symbol
_atom_site_fract_x
_atom_site_fract_y
_atom_site_fract_z
Ce1 Ce 0.7561 0.5678 0.9157
Ce2 Ce 0.7561 0.9157 0.5678
Ce3 Ce 0.2438 0.4322 0.0843
Ce4 Ce 0.2438 0.0843 0.4322
Sn1 Sn 0.0000 0.0000 0.0000
Au1 Au 0.5000 0.5000 0.5000
```

**Energy relative to the elements**: -34 kJ per mole of atoms
**Energy above the lowest structure with this stoichiometry**: 50 meV per atom